The following is a SCAN calculation of a crystal of YFe relaxed with PBEsol, from Alexandria.

Cell: 3.3687 3.3687 7.5205 Å, 90.00 90.00 90.00°
Last column: nearest neighbours and their distance in Å.
Space group P4/nmm (No. 129, origin choice 2)
Asymmetric unit:
Y 0.2500 0.2500 0.1969  4 Fe 2.83
Fe 0.2500 0.7500 0.5000  4 Fe 2.38

Theoretical density   5.6 g cm⁻³
Magnetic moment   2.20 μB/f.u.
Calculated volume   21.34 A^3/atom
Formation energy   284 meV per atom